1.
Entry from Alexandria: a relaxed structure of Ac2PmTmSe4 (PBE).

Cell: 4.168 7.275 7.732 Å, 108.04 90.00 90.00°
Atoms (fractional coordinates):
1 Se 0.000 0.750 0.224
2 Tm 0.000 0.000 0.000
3 Se 0.000 0.250 0.776
4 Pm 0.500 0.500 0.000
5 Se 0.500 0.231 0.219
6 Ac 0.000 0.500 0.500
7 Se 0.500 0.769 0.781
8 Ac 0.500 0.000 0.500

space group	P2/m
uncorrected formation energy	-14.377	eV per formula unit


2.
Entry from Alexandria: a relaxed structure of Co2TcRh (PBE).

Cell: 3.984 2.615 4.983 Å, 74.77 90.00 90.00°
Each line ends with the local moment (μB).
Atoms (fractional coordinates):
1 Co 0.500 0.061 0.252  1.17
2 Rh 0.000 0.451 0.471  0.28
3 Tc 0.500 0.797 0.781  -0.23
4 Co 0.000 0.190 0.996  1.06

space group	Amm2
formation energy	0.06	eV per atom
ΔE to the lowest computed polymorph	0.10	eV/f.u.


Number 1: calculated total energy -5.719 eV per atom. Number 2: calculated total energy -7.924 eV per atom.